[1]
Entry from Alexandria via LeMat-Bulk: Tl2TcCl6 after structural relaxation (PBE-GGA).

## Properties
total energy	-3.81	eV per atom

a = 7.1127 Å, b = 7.1127 Å, c = 7.1127 Å
α = 60.00°, β = 60.00°, γ = 60.00°
With the nearest neighbours (Å) after each atom.
Sites, in units of the cell vectors:
Cl  0.7641  0.2359  0.2359  1 Tc 2.37
Cl  0.2359  0.2359  0.7641  1 Tc 2.37
Cl  0.2359  0.7641  0.2359  1 Tc 2.37
Cl  0.7641  0.2359  0.7641  1 Tc 2.37
Cl  0.2359  0.7641  0.7641  1 Tc 2.37
Cl  0.7641  0.7641  0.2359  1 Tc 2.37
Tc  0.0000  0.0000  0.0000  6 Cl 2.37
Tl  0.2500  0.2500  0.2500  12 Cl 3.56
Tl  0.7500  0.7500  0.7500  12 Cl 3.56



[2]
Entry from Alexandria via LeMat-Bulk: Os2RuCl after structural relaxation (PBE-GGA).

## Properties
total energy	-6.89	eV per atom

a = 4.8743 Å, b = 3.5907 Å, c = 3.5907 Å
α = 90.00°, β = 90.00°, γ = 90.00°
With the nearest neighbours (Å) after each atom.
Sites, in units of the cell vectors:
Os  0.0000  0.5000  0.5000  4 Os 2.54
Os  0.0000  0.0000  0.0000  4 Os 2.54
Cl  0.5000  0.0000  0.5000  4 Ru 2.54
Ru  0.5000  0.5000  0.0000  4 Cl 2.54